(1)
A plane-wave DFT calculation with GGA-PBE was carried out for a geometry-optimized Rb5Ca3F12 structure. Values from VASP.

Results
Density of states at the Fermi level ... 69.9 states/eV/cell
Total magnetic moment ... 0.06 μB/atom
Volume ... 533.87 Å³/f.u.

```
&SYSTEM
  ibrav = 0, nat = 80, ntyp = 3
/
ATOMIC_SPECIES
F 19.00 F.upf
Ca 40.08 Ca.upf
Rb 85.47 Rb.upf
CELL_PARAMETERS angstrom
14.051 0.000 0.000
-4.684 13.247 0.000
-4.684 -6.624 11.473
ATOMIC_POSITIONS angstrom
F -3.391 4.120 11.444
Ca -3.513 2.484 10.038
F 6.237 5.039 1.565
F -4.353 7.511 9.879
F 3.131 7.187 2.155
F -1.553 1.584 9.907
Ca -3.513 -2.484 10.038
F 1.553 -0.563 9.318
F -5.472 2.148 10.883
Rb 1.171 4.140 10.038
Rb 4.684 6.624 0.000
Rb 3.513 9.936 2.868
Ca 1.171 -0.828 4.302
F -3.635 2.084 7.919
F 2.672 -2.376 4.171
F 8.318 4.540 3.554
F -6.191 4.912 7.330
F 2.011 8.999 7.301
F 5.014 8.112 5.764
Ca 10.538 0.000 2.868
F 8.319 10.743 0.028
F 3.849 5.492 6.326
F 10.156 8.208 1.565
Ca 3.513 7.452 7.170
Rb -3.513 7.452 4.302
F 10.156 4.476 0.589
F 6.237 8.771 0.589
F -2.672 5.135 5.764
F -5.472 -1.584 9.907
Rb -2.342 -3.312 5.736
Ca -5.855 6.624 8.604
Rb -4.684 3.312 5.736
Rb -1.171 3.312 2.868
Rb 5.855 5.796 4.302
Ca 1.171 6.624 2.868
F -3.635 -4.120 11.444
Rb 8.196 -0.828 7.170
Rb 5.855 -4.140 10.038
F 10.202 -1.711 4.143
F 4.353 2.376 4.171
F 0.835 1.132 5.147
F 5.472 0.563 9.318
F 7.356 1.488 5.708
Rb 2.342 3.312 5.736
F 3.177 7.203 9.290
F 1.507 -0.580 2.183
F 12.040 0.887 1.593
Rb 3.513 2.484 1.434
Ca 8.196 4.140 1.434
Rb 0.000 0.000 0.000
F 9.037 -0.887 1.593
F -1.553 -2.148 10.883
Rb 1.171 -3.312 8.604
Rb 7.025 0.000 0.000
F 8.074 2.504 0.028
Rb 5.855 3.312 8.604
F -0.835 6.044 9.290
F 3.635 -2.035 7.891
Rb -1.171 0.828 7.170
F -5.518 8.335 7.330
Ca 5.855 0.828 4.302
Rb -2.342 6.624 0.000
Ca -1.171 5.796 7.170
F 1.049 8.659 3.582
Ca 3.513 0.000 8.604
F -0.789 6.060 2.155
F 10.874 1.711 4.143
F 3.391 2.035 7.891
Rb -1.171 10.763 1.434
F 8.074 8.708 3.554
F -7.356 5.736 9.879
Rb 4.684 -3.312 5.736
Ca 8.196 9.108 1.434
F 5.518 0.580 2.183
F 6.191 -1.132 5.147
F 1.293 4.588 3.582
F -0.331 -1.488 5.708
F -3.391 -2.084 7.919
F -1.507 7.755 6.326
F 0.331 4.248 7.301
```

=====

(2)
A plane-wave DFT calculation with GGA-PBE was carried out for a geometry-optimized RbCaF3 structure. Values from VASP.

Results
Density of states at the Fermi level ... 0.0 states/eV/cell
Total magnetic moment ... 0.01 μB/atom
Volume ... 92.45 Å³/f.u.

```
&SYSTEM
  ibrav = 0, nat = 20, ntyp = 3
/
ATOMIC_SPECIES
Ca 40.08 Ca.upf
Rb 85.47 Rb.upf
F 19.00 F.upf
CELL_PARAMETERS angstrom
13.976 0.000 0.255
5.708 4.822 -2.640
-5.708 4.822 2.640
ATOMIC_POSITIONS angstrom
Ca 10.136 1.515 0.352
Rb 0.640 6.216 1.384
Ca 3.841 8.129 -0.097
F 5.338 3.028 0.889
F -1.649 7.850 0.764
Ca 10.829 6.336 0.031
F 12.327 1.793 1.017
F 8.637 3.028 -0.636
Rb 13.336 3.428 -1.128
F 5.340 6.615 0.892
F 12.220 4.822 1.067
F 10.940 4.821 -1.700
F 3.037 4.822 1.955
F 8.638 6.615 -0.634
Rb 6.348 5.270 -1.256
Ca 3.147 3.307 0.224
F 1.756 4.821 -0.812
F 1.650 7.850 -0.762
F 15.625 1.793 -0.509
Rb 7.629 4.373 1.511
```

=====

(3)
A plane-wave DFT calculation with GGA-PBE was carried out for a geometry-optimized RbCaF3 structure. Values from VASP.

Results
Density of states at the Fermi level ... 0.0 states/eV/cell
Total magnetic moment ... 0.00 μB/atom
Volume ... 101.37 Å³/f.u.

```
&SYSTEM
  ibrav = 0, nat = 10, ntyp = 3
/
ATOMIC_SPECIES
Ca 40.08 Ca.upf
Rb 85.47 Rb.upf
F 19.00 F.upf
CELL_PARAMETERS angstrom
3.610 0.000 5.987
-1.805 3.127 5.987
-1.805 -3.127 5.987
ATOMIC_POSITIONS angstrom
Ca 0.000 0.000 15.131
Rb 0.000 0.000 6.557
Rb 0.000 0.000 11.405
F 0.092 -2.500 7.732
F -0.092 2.500 10.230
F -2.119 -1.330 10.230
F 2.211 -1.170 10.230
F 2.119 1.330 7.732
Ca 0.000 0.000 2.831
F -2.211 1.170 7.732
```

=====

(4)
A plane-wave DFT calculation with GGA-PBE was carried out for a geometry-optimized Rb2CaF2 structure. Values from VASP.

Results
Density of states at the Fermi level ... 1.7 states/eV/cell
Total magnetic moment ... 0.00 μB/atom
Volume ... 149.98 Å³/f.u.
Distance to the lowest polymorph of the same formula ... 0 meV per atom

```
&SYSTEM
  ibrav = 0, nat = 10, ntyp = 3
/
ATOMIC_SPECIES
Ca 40.08 Ca.upf
F 19.00 F.upf
Rb 85.47 Rb.upf
CELL_PARAMETERS angstrom
-6.950 -2.615 -0.142
2.442 -6.617 2.325
-0.692 1.559 5.164
ATOMIC_POSITIONS angstrom
Ca 0.000 0.000 0.000
F -1.158 -2.295 0.537
Rb -2.246 -1.199 2.924
Ca -2.254 -4.616 1.091
Rb -2.953 -6.474 4.422
Rb 0.119 -4.077 4.110
F -3.349 -6.938 1.645
F 0.109 -5.586 1.701
F -4.617 -3.646 0.482
Rb -5.319 -3.596 3.236
```

=====

E_form (uncorrected) values, unit meV/atom, following the record order: -2955 -3384 -3433 -1820.